# PrNdHo3 PBE optimized geometry
# Energy of formation from the pure elements ... 300 meV/atom
data_PrNdHo3
_chemical_formula_sum 'Pr4 Nd4 Ho12'
_cell_length_a 3.644
_cell_length_b 16.985
_cell_length_c 11.627
_cell_angle_alpha 90.00
_cell_angle_beta 90.00
_cell_angle_gamma 90.00
_symmetry_space_group_name_H-M 'C m c m'
_symmetry_Int_Tables_number 63
_symmetry_space_group_name_Hall '-C 2c 2'
loop_
_atom_site_label
_atom_site_type_symbol
_atom_site_fract_x
_atom_site_fract_y
_atom_site_fract_z
Pr1 Pr 0.000 0.012 0.250
Nd1 Nd 0.000 0.313 0.750
Ho1 Ho 0.000 0.159 0.502
Ho2 Ho 0.000 0.346 0.250

# Er2Tm2Sc PBE optimized geometry
# Energy of formation from the pure elements ... 41 meV/atom
data_Er2Tm2Sc
_chemical_formula_sum 'Er8 Tm8 Sc4'
_cell_length_a 10.898
_cell_length_b 4.888
_cell_length_c 10.900
_cell_angle_alpha 90.00
_cell_angle_beta 90.00
_cell_angle_gamma 90.00
_symmetry_space_group_name_H-M 'C 1 2/m 1'
_symmetry_Int_Tables_number 12
loop_
_symmetry_equiv_pos_as_xyz
'x,y,z'
'-x,-y,-z'
'-x,y,-z'
'x,-y,z'
'x+1/2,y+1/2,z'
'-x+1/2,-y+1/2,-z'
'-x+1/2,y+1/2,-z'
'x+1/2,-y+1/2,z'
loop_
_atom_site_label
_atom_site_type_symbol
_atom_site_fract_x
_atom_site_fract_y
_atom_site_fract_z
Er1 Er 0.050 0.000 0.151
Er2 Er 0.151 0.000 0.450
Tm1 Tm 0.050 0.500 0.651
Tm2 Tm 0.151 0.500 0.950
Sc1 Sc 0.250 0.000 0.750

# TaMo PBE optimized geometry
# Energy of formation from the pure elements ... -152 meV/atom
data_TaMo
_chemical_formula_sum 'Ta6 Mo6'
_cell_length_a 4.514
_cell_length_b 13.936
_cell_length_c 3.231
_cell_angle_alpha 90.00
_cell_angle_beta 90.00
_cell_angle_gamma 90.00
_symmetry_space_group_name_H-M 'C m m m'
_symmetry_Int_Tables_number 65
_symmetry_space_group_name_Hall '-C 2 2'
loop_
_atom_site_label
_atom_site_type_symbol
_atom_site_fract_x
_atom_site_fract_y
_atom_site_fract_z
Ta1 Ta 0.000 0.000 0.000
Ta2 Ta 0.000 0.171 0.500
Mo1 Mo 0.000 0.337 0.000
Mo2 Mo 0.000 0.500 0.500

# InGa2IrI PBE optimized geometry
# E_form (uncorrected) ... -0.3401 eV per atom
data_InGa2IrI
_chemical_formula_sum 'In1 Ga2 Ir1 I1'
_cell_length_a 4.914
_cell_length_b 4.914
_cell_length_c 5.371
_cell_angle_alpha 90.00
_cell_angle_beta 90.00
_cell_angle_gamma 90.00
_symmetry_space_group_name_H-M 'P 4/m m m'
_symmetry_Int_Tables_number 123
_symmetry_space_group_name_Hall '-P 4 2'
loop_
_atom_site_label
_atom_site_type_symbol
_atom_site_fract_x
_atom_site_fract_y
_atom_site_fract_z
In1 In 0.000 0.000 0.000
Ga1 Ga 0.000 0.500 0.500
Ir1 Ir 0.000 0.000 0.500
I1 I 0.500 0.500 0.000

# Ca6Sb3O2 PBE optimized geometry
# E_form (uncorrected) ... -1.6795 eV per atom
data_Ca6Sb3O2
_chemical_formula_sum 'Ca12 Sb6 O4'
_cell_length_a 4.719
_cell_length_b 4.719
_cell_length_c 25.367
_cell_angle_alpha 90.00
_cell_angle_beta 90.00
_cell_angle_gamma 90.00
_symmetry_space_group_name_H-M 'I 4/m m m'
_symmetry_Int_Tables_number 139
_symmetry_space_group_name_Hall '-I 4 2'
loop_
_atom_site_label
_atom_site_type_symbol
_atom_site_fract_x
_atom_site_fract_y
_atom_site_fract_z
Ca1 Ca 0.000 0.000 0.193
Ca2 Ca 0.000 0.500 0.086
Sb1 Sb 0.000 0.000 0.321
Sb2 Sb 0.000 0.000 0.500
O1 O 0.000 0.000 0.102

# La2Ge3Ir3 PBE optimized geometry
# Energy of formation from the pure elements ... 599 meV/atom
data_La2Ge3Ir3
_chemical_formula_sum 'La2 Ge3 Ir3'
_cell_length_a 2.876
_cell_length_b 2.876
_cell_length_c 20.916
_cell_angle_alpha 90.00
_cell_angle_beta 90.00
_cell_angle_gamma 90.00
_symmetry_space_group_name_H-M 'P 4/m m m'
_symmetry_Int_Tables_number 123
_symmetry_space_group_name_Hall '-P 4 2'
loop_
_atom_site_label
_atom_site_type_symbol
_atom_site_fract_x
_atom_site_fract_y
_atom_site_fract_z
La1 La 0.000 0.000 0.238
Ge1 Ge 0.000 0.000 0.000
Ge2 Ge 0.000 0.000 0.386
Ir1 Ir 0.000 0.000 0.116
Ir2 Ir 0.000 0.000 0.500

Number 1: calculated density 7.199 g/cm³, spin magnetization 0.000 μB/cell. Number 2: calculated density 8.205 g/cm³, spin magnetization 0.000 μB/cell. Number 3: calculated density 13.572 g/cm³, spin magnetization 0.000 μB/cell. Number 4: calculated density 7.341 g/cm³, spin magnetization 0.000 μB/cell. Number 5: calculated density 3.750 g/cm³, spin magnetization 0.000 μB/cell. Number 6: calculated density 10.297 g/cm³, spin magnetization 0.000 μB/cell.